Below is crystalline Tb4Nd3Ho2 at its relaxed geometry, with properties calculated at the GGA-PBE level.

Cell: 6.2130 6.2213 9.5000 Å, 108.95 90.10 119.91°
Last column: nearest neighbours and their distance in Å.
Fractional positions:
Tb  0.1652  0.3320  0.9998  5 Tb 3.58-3.61, 5 Nd 3.58-3.60, 2 Ho 3.59-3.60
Tb  0.2768  0.8870  0.3332  4 Ho 3.58-3.60, 5 Nd 3.58-3.61, 3 Tb 3.58-3.60
Tb  0.7232  0.1130  0.6668  4 Ho 3.58-3.60, 5 Nd 3.58-3.61, 3 Tb 3.58-3.60
Tb  0.8348  0.6680  0.0002  5 Tb 3.58-3.61, 5 Nd 3.58-3.60, 2 Ho 3.59-3.60
Nd  0.3884  0.4438  0.6662  4 Ho 3.58-3.59, 6 Tb 3.58-3.61, 2 Nd 3.59-3.60
Nd  0.5000  0.0000  0.0000  8 Tb 3.58-3.60, 2 Ho 3.59, 2 Nd 3.60
Nd  0.6116  0.5562  0.3338  4 Ho 3.58-3.59, 6 Tb 3.58-3.61, 2 Nd 3.59-3.60
Ho  0.0553  0.7771  0.6661  5 Nd 3.58-3.59, 6 Tb 3.58-3.60, 1 Ho 3.59
Ho  0.9447  0.2229  0.3339  5 Nd 3.58-3.59, 6 Tb 3.58-3.60, 1 Ho 3.59

Properties
For the energy of formation, the calculation gives 0.15 eV/f.u. The value obtained for the density of states at the Fermi level is 11.98 states/eV per cell. The energy relative to the lowest polymorph listed for this composition comes out at 0.000 eV/atom.

=====

Below is crystalline Tb4Nd6Ho at its relaxed geometry, with properties calculated at the GGA-PBE level.

Cell: 9.6590 9.6590 9.6590 Å, 138.99 138.99 59.40°
Last column: nearest neighbours and their distance in Å.
Fractional positions:
Tb  0.2038  0.2038  0.6467  5 Nd 3.20-3.55, 1 Tb 3.38
Tb  0.4429  0.7962  0.0000  5 Nd 3.20-3.55, 1 Tb 3.38
Tb  0.5571  0.5571  0.3533  5 Nd 3.20-3.55, 1 Tb 3.38
Tb  0.7962  0.4429  0.0000  5 Nd 3.20-3.55, 1 Tb 3.38
Nd  0.0000  0.5000  0.5000  4 Tb 3.20, 2 Ho 3.38
Nd  0.0133  0.6325  0.0000  5 Tb 3.41-3.72, 1 Ho 3.49, 1 Nd 3.64
Nd  0.3675  0.3675  0.3808  5 Tb 3.41-3.72, 1 Ho 3.49, 1 Nd 3.64
Nd  0.5000  0.0000  0.5000  4 Tb 3.20, 2 Ho 3.38
Nd  0.6325  0.0133  0.0000  5 Tb 3.41-3.72, 1 Ho 3.49, 1 Nd 3.64
Nd  0.9867  0.9867  0.6192  5 Tb 3.41-3.72, 1 Ho 3.49, 1 Nd 3.64
Ho  0.0000  0.0000  0.0000  8 Nd 3.38-3.49, 4 Tb 3.69

Properties
For the energy of formation, the calculation gives 3.25 eV/f.u. The value obtained for the density of states at the Fermi level is 16.59 states/eV per cell. The energy relative to the lowest polymorph listed for this composition comes out at 0.011 eV/atom.

=====

Below is crystalline TbNd4Ho4 at its relaxed geometry, with properties calculated at the GGA-PBE level.

Cell: 8.9532 8.9532 6.8135 Å, 112.20 112.20 36.70°
Last column: nearest neighbours and their distance in Å.
Fractional positions:
Tb  0.0000  0.0000  0.0000  6 Nd 3.45-3.70, 6 Ho 3.62-3.67
Nd  0.2193  0.2193  0.2854  2 Ho 3.38-3.61, 1 Tb 3.45, 3 Nd 3.51-3.53
Nd  0.3665  0.3665  0.0417  5 Ho 3.32-3.68, 3 Nd 3.51-3.53, 2 Tb 3.70
Nd  0.6335  0.6335  0.9583  5 Ho 3.32-3.68, 3 Nd 3.51-3.53, 2 Tb 3.70
Nd  0.7807  0.7807  0.7146  2 Ho 3.38-3.61, 1 Tb 3.45, 3 Nd 3.51-3.53
Ho  0.1230  0.1230  0.6719  2 Ho 3.37, 3 Nd 3.39-3.61, 1 Tb 3.62
Ho  0.4284  0.4284  0.6247  4 Nd 3.32-3.68, 3 Ho 3.37-3.48, 2 Tb 3.67
Ho  0.5716  0.5716  0.3753  4 Nd 3.32-3.68, 3 Ho 3.37-3.48, 2 Tb 3.67
Ho  0.8770  0.8770  0.3281  2 Ho 3.37, 3 Nd 3.39-3.61, 1 Tb 3.62

Properties
For the energy of formation, the calculation gives 0.95 eV/f.u. The value obtained for the density of states at the Fermi level is 14.97 states/eV per cell. The energy relative to the lowest polymorph listed for this composition comes out at 0.086 eV/atom.

=====

Below is crystalline Tb5NdHo2 at its relaxed geometry, with properties calculated at the GGA-PBE level.

Cell: 7.1393 14.2796 5.0309 Å, 90.00 90.00 90.00°
Last column: nearest neighbours and their distance in Å.
Fractional positions:
Tb  0.0000  0.0000  0.0000  6 Tb 3.56-3.57, 4 Ho 3.57, 2 Nd 3.57
Tb  0.0006  0.2492  0.0000  4 Ho 3.55-3.57, 7 Tb 3.55-3.57, 1 Nd 3.58
Tb  0.2490  0.8742  0.5000  4 Ho 3.55-3.59, 6 Tb 3.55-3.57, 2 Nd 3.57
Tb  0.2510  0.3742  0.5000  4 Ho 3.55-3.59, 6 Tb 3.55-3.57, 2 Nd 3.57
Tb  0.4994  0.7492  0.0000  4 Ho 3.55-3.57, 7 Tb 3.55-3.57, 1 Nd 3.58
Tb  0.5000  0.5000  0.0000  6 Tb 3.56-3.57, 4 Ho 3.57, 2 Nd 3.57
Tb  0.5006  0.2508  0.0000  4 Ho 3.55-3.57, 7 Tb 3.55-3.57, 1 Nd 3.58
Tb  0.7490  0.6258  0.5000  4 Ho 3.55-3.59, 6 Tb 3.55-3.57, 2 Nd 3.57
Tb  0.7510  0.1258  0.5000  4 Ho 3.55-3.59, 6 Tb 3.55-3.57, 2 Nd 3.57
Tb  0.9994  0.7508  0.0000  4 Ho 3.55-3.57, 7 Tb 3.55-3.57, 1 Nd 3.58
Nd  0.0000  0.5000  0.0000  4 Ho 3.57, 8 Tb 3.57-3.58
Nd  0.5000  0.0000  0.0000  4 Ho 3.57, 8 Tb 3.57-3.58
Ho  0.2497  0.1256  0.5000  10 Tb 3.55-3.59, 2 Nd 3.57
Ho  0.2503  0.6256  0.5000  10 Tb 3.55-3.59, 2 Nd 3.57
Ho  0.7497  0.3744  0.5000  10 Tb 3.55-3.59, 2 Nd 3.57
Ho  0.7503  0.8744  0.5000  10 Tb 3.55-3.59, 2 Nd 3.57

Properties
For the energy of formation, the calculation gives 0.13 eV/f.u. The value obtained for the density of states at the Fermi level is 20.33 states/eV per cell. The energy relative to the lowest polymorph listed for this composition comes out at 0.000 eV/atom.

=====

Question: Which value of energy relative to the lowest polymorph listed for this composition does entry 3 give?
Answer: 0.086 eV/atom

=====

What did the first record say?
Below is crystalline Tb4Nd3Ho2 at its relaxed geometry, with properties calculated at the GGA-PBE level.

Cell: 6.2130 6.2213 9.5000 Å, 108.95 90.10 119.91°
Last column: nearest neighbours and their distance in Å.
Fractional positions:
Tb  0.1652  0.3320  0.9998  5 Tb 3.58-3.61, 5 Nd 3.58-3.60, 2 Ho 3.59-3.60
Tb  0.2768  0.8870  0.3332  4 Ho 3.58-3.60, 5 Nd 3.58-3.61, 3 Tb 3.58-3.60
Tb  0.7232  0.1130  0.6668  4 Ho 3.58-3.60, 5 Nd 3.58-3.61, 3 Tb 3.58-3.60
Tb  0.8348  0.6680  0.0002  5 Tb 3.58-3.61, 5 Nd 3.58-3.60, 2 Ho 3.59-3.60
Nd  0.3884  0.4438  0.6662  4 Ho 3.58-3.59, 6 Tb 3.58-3.61, 2 Nd 3.59-3.60
Nd  0.5000  0.0000  0.0000  8 Tb 3.58-3.60, 2 Ho 3.59, 2 Nd 3.60
Nd  0.6116  0.5562  0.3338  4 Ho 3.58-3.59, 6 Tb 3.58-3.61, 2 Nd 3.59-3.60
Ho  0.0553  0.7771  0.6661  5 Nd 3.58-3.59, 6 Tb 3.58-3.60, 1 Ho 3.59
Ho  0.9447  0.2229  0.3339  5 Nd 3.58-3.59, 6 Tb 3.58-3.60, 1 Ho 3.59

Properties
For the energy of formation, the calculation gives 0.15 eV/f.u. The value obtained for the density of states at the Fermi level is 11.98 states/eV per cell. The energy relative to the lowest polymorph listed for this composition comes out at 0.000 eV/atom.